First-principles (PBE with a Hubbard U) data for a relaxed structure of MnCuN2O, as listed in Alexandria via LeMat-Bulk.

The calculation puts the total energy at -5.7022 eV/atom. The density of states at the Fermi level is 2.5 states/eV per cell.

Cell: 3.7791 3.7791 3.7850 Å, 90.00 90.00 90.00°
With the nearest neighbours (Å) after each atom.
Space group P4/mmm (No. 123)
One atom of each set of equivalent atoms:
Mn 0.0000 0.0000 0.0000  4 N 1.89, 2 O 1.89
Cu 0.5000 0.5000 0.5000  4 O 2.67, 8 N 2.67
N 0.0000 0.5000 0.0000  2 Mn 1.89
O 0.0000 0.0000 0.5000  2 Mn 1.89